# 1
Below is a PBEsol-optimized structure of AlTe3, with properties calculated at the SCAN level.

Lattice parameters (Å, degrees): 3.893 6.289 8.786 90.00 90.00 90.00
Positions (direct):
1 Te 0.500 0.000 0.468
2 Te 0.000 0.500 0.532
3 Te 0.000 0.750 0.147
4 Te 0.000 0.250 0.147
5 Te 0.500 0.250 0.853
6 Te 0.500 0.750 0.853
7 Al 0.000 0.000 0.679
8 Al 0.500 0.500 0.321

Computed properties:
ΔE_f (raw) (kJ/mol of atoms): 2.6
Calculated density (Mg/m³): 6.33
Volume (A^3/atom): 26.89


# 2
Below is a PBEsol-optimized structure of LaScNiRh2, with properties calculated at the SCAN level.

Lattice parameters (Å, degrees): 4.645 4.825 4.825 90.00 90.00 90.00
Positions (direct):
1 Sc 0.500 0.500 0.500
2 Ni 0.500 0.000 0.000
3 Rh 0.000 0.000 0.500
4 Rh 0.000 0.500 0.000
5 La 0.000 0.000 0.000

Computed properties:
Calculated density (Mg/m³): 6.88
Volume (A^3/atom): 21.63
Uncorrected energy (eV/cell): -137.4


# 3
Below is a PBEsol-optimized structure of BSOF2, with properties calculated at the SCAN level.

Lattice parameters (Å, degrees): 3.416 4.302 4.302 90.00 90.00 90.00
Positions (direct):
1 S 0.000 0.000 0.000
2 B 0.500 0.500 0.500
3 O 0.500 0.000 0.000
4 F 0.000 0.000 0.500
5 F 0.000 0.500 0.000

Computed properties:
ΔE_f (raw) (kJ/mol of atoms): 34.6
Calculated density (Mg/m³): 2.54
Volume (A^3/atom): 12.64